Crystalline RbMgTl at its relaxed geometry, computed with PBE-GGA.

The structure in POSCAR format:
```
RbMgTl
1.0
-3.5118 2.5631 -2.4161
-4.7752 -1.3183 0.4543
-2.3519 7.6355 9.3322
Mg Tl Rb
2 2 2
Direct
0.6370 0.9877 0.9174
0.9583 0.3100 0.0044
0.3150 0.6672 0.8283
0.2792 0.6296 0.0945
0.5870 0.9346 0.2796
0.0061 0.3605 0.6434
```

Output
**DOS(E_F)**: 1.88 states/eV/cell
**E_form**: -0.0440 eV per atom
**Volume**: 131.2 Å³/f.u.
**Space-group type**: P1 (1)